Record 1
Compound: LaHo2Mg2
Source: Alexandria via LeMat-Bulk
Functional: GGA-PBE
Structure: optimized geometry

abc: 3.7867 5.5355 14.1351
angles: 90.00 97.71 90.00
Fractional positions:
La1 0.8496 0.7500 0.6999
La2 0.1504 0.2500 0.3001
Ho1 0.2374 0.7500 0.4745
Ho2 0.9543 0.2500 0.9082
Ho3 0.7626 0.2500 0.5255
Ho4 0.0457 0.7500 0.0918
Mg1 0.6406 0.7500 0.2815
Mg2 0.4506 0.7500 0.9019
Mg3 0.3594 0.2500 0.7185
Mg4 0.5494 0.2500 0.0981

---

Record 2
Compound: LaHoMg2
Source: Alexandria via LeMat-Bulk
Functional: GGA-PBE
Structure: optimized geometry

abc: 3.9011 5.4420 5.4420
angles: 90.00 90.00 90.00
Fractional positions:
La1 0.5000 0.0000 0.0000
Ho1 0.5000 0.5000 0.5000
Mg1 0.0000 0.5000 0.0000
Mg2 0.0000 0.0000 0.5000

---

Record 3
Compound: La3Ho2Mg
Source: Alexandria via LeMat-Bulk
Functional: GGA-PBE
Structure: optimized geometry

abc: 5.2387 8.3009 9.6648
angles: 90.00 90.00 71.64
Fractional positions:
La1 0.5000 0.0000 0.2398
La2 0.1666 0.6674 0.7582
La3 0.5000 0.0000 0.7602
La4 0.8334 0.3326 0.7582
La5 0.8334 0.3326 0.2418
La6 0.1666 0.6674 0.2418
Ho1 0.0000 0.0000 0.0000
Ho2 0.0000 0.0000 0.5000
Ho3 0.3336 0.3327 0.5000
Ho4 0.6664 0.6673 0.5000
Mg1 0.3356 0.3308 0.0000
Mg2 0.6644 0.6692 0.0000

---

Record 4
Compound: La3HoMg2
Source: Alexandria via LeMat-Bulk
Functional: GGA-PBE
Structure: optimized geometry

abc: 3.9027 3.9027 12.7389
angles: 90.00 90.00 90.00
Fractional positions:
Ho1 0.5000 0.5000 0.5000
Mg1 0.5000 0.5000 0.1583
Mg2 0.5000 0.5000 0.8417
La1 0.0000 0.0000 0.3145
La2 0.0000 0.0000 0.0000
La3 0.0000 0.0000 0.6855

---

In order of appearance, energy relative to the elements = -0.3 -0.3 0.1 -0.3 eV per formula unit.
In order of appearance, spin magnetization = 0.0 0.0 0.0 0.0 μB/f.u..
In order of appearance, uncorrected energy = -35.15 -13.04 -50.93 -22.85 eV/cell.